Ta3Co: optimized geometry, GGA-PBE.

ΔH_f (0 K) = 0.212 eV per atom
SG = P-6m2 (187)
V = 16.6 A^3/atom
M_tot = 0.0 μB/f.u.
crystal system = hexagonal
E = -10.45 eV per atom

Cell lengths 2.900, 2.900, 9.144 Å; angles 90.00, 90.00, 120.00 degrees
Element x y z (fractional)
Ta1 0.333 0.667 0.779
Ta2 0.000 0.000 0.500
Ta3 0.333 0.667 0.221
Co1 0.000 0.000 0.000